# PaGeTe (PBE, optimized geometry)
# * energy relative to the lowest polymorph listed for this composition: 2.30 eV per formula unit
# * M_tot: 3.96 Bohr magnetons per cell
data_PaGeTe
_symmetry_space_group_name_H-M 'P 1'
_symmetry_Int_Tables_number 1
_symmetry_space_group_name_Hall 'P 1'
_cell_length_a 6.981
_cell_length_b 6.981
_cell_length_c 6.981
_cell_angle_alpha 90.00
_cell_angle_beta 90.00
_cell_angle_gamma 90.00
loop_
_atom_site_label
_atom_site_type_symbol
_atom_site_fract_x
_atom_site_fract_y
_atom_site_fract_z
Pa1 Pa 0.000 0.000 0.000
Pa2 Pa 0.000 0.500 0.500
Pa3 Pa 0.500 0.000 0.500
Pa4 Pa 0.500 0.500 0.000
Ge1 Ge 0.000 0.000 0.500
Ge2 Ge 0.000 0.500 0.000
Ge3 Ge 0.500 0.000 0.000
Ge4 Ge 0.500 0.500 0.500
Te1 Te 0.250 0.250 0.750
Te2 Te 0.250 0.750 0.250
Te3 Te 0.750 0.250 0.250
Te4 Te 0.750 0.750 0.750